Density functional theory data (PBE-GGA) for crystalline Ca2BiAu3 at its relaxed geometry.

The space group is P6_3/mmc. The calculation puts the total magnetization at 0.00 Bohr magnetons per cell. Its density is 9.93 g/cm3. The energy above the lowest structure with this stoichiometry comes out at 39 meV per atom.

Cell lengths 7.0487, 9.8192, 9.8192 Å; angles 120.00, 90.00, 90.00 degrees
Last column: nearest neighbours and their distance in Å.
Positions (direct):
1 Ca 0.2500 0.0000 0.0000  12 Au 3.27-3.29, 2 Ca 3.52
2 Ca 0.7500 0.0000 0.0000  12 Au 3.27-3.29, 2 Ca 3.52
3 Ca 0.2500 0.4993 0.9987  4 Bi 3.33-3.34, 8 Au 3.36-3.37, 2 Ca 3.52
4 Ca 0.2500 0.4993 0.5007  4 Bi 3.33-3.34, 8 Au 3.36-3.37, 2 Ca 3.52
5 Ca 0.2500 0.0013 0.5007  4 Bi 3.33-3.34, 8 Au 3.36-3.37, 2 Ca 3.52
6 Ca 0.7500 0.5007 0.0013  4 Bi 3.33-3.34, 8 Au 3.36-3.37, 2 Ca 3.52
7 Ca 0.7500 0.5007 0.4993  4 Bi 3.33-3.34, 8 Au 3.36-3.37, 2 Ca 3.52
8 Ca 0.7500 0.9987 0.4993  4 Bi 3.33-3.34, 8 Au 3.36-3.37, 2 Ca 3.52
9 Bi 0.0015 0.6667 0.3333  3 Au 2.90
10 Bi 0.9985 0.3333 0.6667  3 Au 2.90
11 Bi 0.5015 0.3333 0.6667  3 Au 2.90
12 Bi 0.4985 0.6667 0.3333  3 Au 2.90
13 Au 0.0019 0.8372 0.6744  2 Au 2.77, 1 Bi 2.90
14 Au 0.0019 0.8372 0.1628  2 Au 2.77, 1 Bi 2.90
15 Au 0.0019 0.3256 0.1628  2 Au 2.77, 1 Bi 2.90
16 Au 0.9981 0.1628 0.3256  2 Au 2.77, 1 Bi 2.90
17 Au 0.9981 0.1628 0.8372  2 Au 2.77, 1 Bi 2.90
18 Au 0.9981 0.6744 0.8372  2 Au 2.77, 1 Bi 2.90
19 Au 0.5019 0.1628 0.3256  2 Au 2.77, 1 Bi 2.90
20 Au 0.5019 0.1628 0.8372  2 Au 2.77, 1 Bi 2.90
21 Au 0.5019 0.6744 0.8372  2 Au 2.77, 1 Bi 2.90
22 Au 0.4981 0.8372 0.6744  2 Au 2.77, 1 Bi 2.90
23 Au 0.4981 0.8372 0.1628  2 Au 2.77, 1 Bi 2.90
24 Au 0.4981 0.3256 0.1628  2 Au 2.77, 1 Bi 2.90

Density functional theory data (PBE-GGA) for crystalline KSrTl2 at its relaxed geometry.

The space group is Pmm2. The calculation puts the total magnetization at 0.00 Bohr magnetons per cell. Its density is 6.22 g/cm3. The energy above the lowest structure with this stoichiometry comes out at 6 meV per atom.

Cell lengths 5.8876, 4.1229, 5.8888 Å; angles 90.00, 90.00, 90.00 degrees
Last column: nearest neighbours and their distance in Å.
Positions (direct):
1 Sr 0.5000 0.6249 0.8786  8 Tl 3.58-3.61
2 Tl 0.0000 0.1248 0.8694  4 K 3.58-3.60, 4 Sr 3.59
3 Tl 0.5000 0.1252 0.3808  4 Sr 3.58-3.61, 4 K 3.59
4 K 0.0000 0.6251 0.3712  8 Tl 3.58-3.60

Density functional theory data (PBE-GGA) for crystalline BIr2N at its relaxed geometry.

The space group is I-42d. As for the uncorrected formation energy: 0.33 eV/atom. The calculation puts the total magnetization at 0.00 Bohr magnetons per cell. Its density is 13.26 g/cm3. The energy above the lowest structure with this stoichiometry comes out at 0 meV per atom.

Cell lengths 4.6918, 4.6918, 5.7176 Å; angles 65.78, 65.78, 90.00 degrees
Last column: nearest neighbours and their distance in Å.
Positions (direct):
1 B 0.5000 0.5000 0.0000  4 Ir 2.05
2 B 0.2500 0.7500 0.5000  4 Ir 2.05
3 Ir 0.6349 0.1250 0.2500  2 N 2.00, 2 B 2.05
4 Ir 0.1151 0.6250 0.2500  2 N 2.00, 2 B 2.05
5 Ir 0.3750 0.3651 0.7500  2 N 2.00, 2 B 2.05
6 Ir 0.8750 0.8849 0.7500  2 N 2.00, 2 B 2.05
7 N 0.0000 0.0000 0.0000  4 Ir 2.00
8 N 0.7500 0.2500 0.5000  4 Ir 2.00

Density functional theory data (PBE-GGA) for crystalline ScSbI2 at its relaxed geometry.

The space group is I-42d. As for the uncorrected formation energy: -0.44 eV/atom. The calculation puts the total magnetization at 0.00 Bohr magnetons per cell. Its density is 4.33 g/cm3. The energy above the lowest structure with this stoichiometry comes out at 0 meV per atom.

Cell lengths 10.6622, 10.6622, 8.0553 Å; angles 48.56, 48.56, 90.00 degrees
Last column: nearest neighbours and their distance in Å.
Positions (direct):
1 I 0.4688 0.1250 0.2500  2 Sc 2.93
2 I 0.2812 0.6250 0.2500  2 Sc 2.93
3 I 0.3750 0.5312 0.7500  2 Sc 2.93
4 I 0.8750 0.7188 0.7500  2 Sc 2.93
5 Sb 0.0000 0.0000 0.0000  2 Sc 2.84
6 Sb 0.7500 0.2500 0.5000  2 Sc 2.84
7 Sc 0.5000 0.5000 0.0000  2 Sb 2.84, 4 I 2.93
8 Sc 0.2500 0.7500 0.5000  2 Sb 2.84, 4 I 2.93

Density functional theory data (PBE-GGA) for crystalline AsCSeBr2 at its relaxed geometry.

The space group is P4/mmm. As for the uncorrected formation energy: 1.26 eV/atom. The calculation puts the total magnetization at 0.00 Bohr magnetons per cell. Its density is 5.53 g/cm3. The energy above the lowest structure with this stoichiometry comes out at 0 meV per atom.

Cell lengths 4.6521, 4.6521, 4.5208 Å; angles 90.00, 90.00, 90.00 degrees
Last column: nearest neighbours and their distance in Å.
Positions (direct):
1 C 0.0000 0.0000 0.0000  2 Se 2.26, 4 Br 2.33
2 As 0.5000 0.5000 0.5000  8 Br 3.24, 4 Se 3.29
3 Se 0.0000 0.0000 0.5000  2 C 2.26
4 Br 0.0000 0.5000 0.0000  2 C 2.33
5 Br 0.5000 0.0000 0.0000  2 C 2.33

Density functional theory data (PBE-GGA) for crystalline La4DyTm2 at its relaxed geometry.

The space group is Cc. The calculation puts the total magnetization at 0.00 Bohr magnetons per cell. Its density is 7.26 g/cm3. The energy above the lowest structure with this stoichiometry comes out at 0 meV per atom.

Cell lengths 12.7118, 12.7118, 6.8562 Å; angles 97.01, 97.01, 150.29 degrees
Last column: nearest neighbours and their distance in Å.
Positions (direct):
1 Dy 0.4179 0.6678 0.5003  4 Tm 3.47-3.62, 8 La 3.65-3.76
2 Dy 0.6678 0.4179 0.0003  4 Tm 3.47-3.62, 8 La 3.65-3.76
3 Tm 0.6259 0.3113 0.4563  2 Dy 3.48-3.61, 7 La 3.49-3.89, 2 Tm 3.66-3.67
4 Tm 0.9201 0.1054 0.0449  2 Dy 3.47-3.62, 6 La 3.48-3.69, 2 Tm 3.66-3.67
5 Tm 0.1054 0.9201 0.5449  2 Dy 3.47-3.62, 6 La 3.48-3.69, 2 Tm 3.66-3.67
6 Tm 0.3113 0.6259 0.9563  2 Dy 3.48-3.61, 7 La 3.49-3.89, 2 Tm 3.66-3.67
7 La 0.7080 0.1695 0.8563  5 La 3.39-3.70, 2 Tm 3.58-3.66, 2 Dy 3.66
8 La 0.1695 0.7080 0.3563  5 La 3.39-3.70, 2 Tm 3.58-3.66, 2 Dy 3.66
9 La 0.1926 0.7987 0.9052  4 La 3.39-3.71, 4 Tm 3.49-3.69, 2 Dy 3.75
10 La 0.7987 0.1926 0.4052  4 La 3.39-3.71, 4 Tm 3.49-3.69, 2 Dy 3.75
11 La 0.0363 0.1429 0.5959  4 La 3.39-3.71, 4 Tm 3.48-3.69, 2 Dy 3.74-3.76
12 La 0.5634 0.6015 0.1426  5 La 3.39-3.69, 2 Tm 3.58-3.66, 2 Dy 3.65-3.67
13 La 0.6015 0.5634 0.6426  5 La 3.39-3.69, 2 Tm 3.58-3.66, 2 Dy 3.65-3.67
14 La 0.1429 0.0363 0.0959  4 La 3.39-3.71, 4 Tm 3.48-3.69, 2 Dy 3.74-3.76

Density functional theory data (PBE-GGA) for crystalline UZnP at its relaxed geometry.

The space group is R-3m. The calculation puts the total magnetization at 4.07 Bohr magnetons per cell. Its density is 8.79 g/cm3. As for the total energy: -37.9 eV/cell.

Cell lengths 4.5328, 4.5328, 7.5688 Å; angles 72.58, 72.58, 60.00 degrees
Last column: nearest neighbours and their distance in Å.
Positions (direct):
1 U 0.5881 0.5881 0.2358  4 P 2.70
2 U 0.4119 0.4119 0.7642  4 P 2.70
3 P 0.2852 0.2852 0.1443  1 Zn 2.52, 4 U 2.70
4 P 0.7148 0.7148 0.8557  1 Zn 2.52, 4 U 2.70
5 Zn 0.8330 0.8330 0.5011  1 P 2.52, 3 Zn 2.62
6 Zn 0.1670 0.1670 0.4989  1 P 2.52, 3 Zn 2.62

Density functional theory data (PBE-GGA) for crystalline Rb2ZnAuO at its relaxed geometry.

The space group is P4/mmm. As for the uncorrected formation energy: -0.59 eV/atom. The calculation puts the total magnetization at 0.00 Bohr magnetons per cell. Its density is 5.06 g/cm3. The energy above the lowest structure with this stoichiometry comes out at 0 meV per atom.

Cell lengths 6.1134, 6.1134, 3.9448 Å; angles 90.00, 90.00, 90.00 degrees
Last column: nearest neighbours and their distance in Å.
Positions (direct):
1 Zn 0.0000 0.0000 0.5000  2 O 1.97
2 Au 0.5000 0.5000 0.5000  8 Rb 3.64, 2 Au 3.94
3 O 0.0000 0.0000 0.0000  2 Zn 1.97
4 Rb 0.0000 0.5000 0.0000  2 O 3.06
5 Rb 0.5000 0.0000 0.0000  2 O 3.06

Density functional theory data (PBE-GGA) for crystalline LaTbTmAg at its relaxed geometry.

The space group is F-43m. The calculation puts the total magnetization at 0.00 Bohr magnetons per cell. Its density is 8.28 g/cm3. The energy above the lowest structure with this stoichiometry comes out at 177 meV per atom.

Cell lengths 5.4622, 5.4622, 5.4622 Å; angles 60.00, 60.00, 60.00 degrees
Last column: nearest neighbours and their distance in Å.
Positions (direct):
1 Tm 0.7500 0.7500 0.7500  4 Tb 3.34, 4 La 3.34
2 Tb 0.0000 0.0000 0.0000  4 Tm 3.34, 4 Ag 3.34
3 Ag 0.2500 0.2500 0.2500  4 Tb 3.34, 4 La 3.34
4 La 0.5000 0.5000 0.5000  4 Tm 3.34, 4 Ag 3.34

Density functional theory data (PBE-GGA) for crystalline TlPPd3 at its relaxed geometry.

The space group is Pm-3m. The calculation puts the total magnetization at 0.00 Bohr magnetons per cell. Its density is 9.66 g/cm3. The energy above the lowest structure with this stoichiometry comes out at 45 meV per atom.

Cell lengths 4.5682, 4.5682, 4.5682 Å; angles 90.00, 90.00, 90.00 degrees
Last column: nearest neighbours and their distance in Å.
Positions (direct):
1 P 0.0000 0.0000 0.0000  6 Pd 2.28
2 Tl 0.5000 0.5000 0.5000  12 Pd 3.23
3 Pd 0.0000 0.5000 0.0000  2 P 2.28
4 Pd 0.0000 0.0000 0.5000  2 P 2.28
5 Pd 0.5000 0.0000 0.0000  2 P 2.28

What did the ninth record say?
Density functional theory data (PBE-GGA) for crystalline LaTbTmAg at its relaxed geometry.

The space group is F-43m. The calculation puts the total magnetization at 0.00 Bohr magnetons per cell. Its density is 8.28 g/cm3. The energy above the lowest structure with this stoichiometry comes out at 177 meV per atom.

Cell lengths 5.4622, 5.4622, 5.4622 Å; angles 60.00, 60.00, 60.00 degrees
Last column: nearest neighbours and their distance in Å.
Positions (direct):
1 Tm 0.7500 0.7500 0.7500  4 Tb 3.34, 4 La 3.34
2 Tb 0.0000 0.0000 0.0000  4 Tm 3.34, 4 Ag 3.34
3 Ag 0.2500 0.2500 0.2500  4 Tb 3.34, 4 La 3.34
4 La 0.5000 0.5000 0.5000  4 Tm 3.34, 4 Ag 3.34

Which formula does entry 7 have? UZnP